(1)
U3S3O2: optimized geometry, PBE.

a b c (Å): 10.4425 10.4425 10.4425
angles (deg): 160.13 158.20 29.66
Sites, in units of the cell vectors:
U1 0.0000 0.0000 0.0000
U2 0.3168 0.8168 0.5000
U3 0.6832 0.1832 0.5000
S1 0.1196 0.6196 0.5000
S2 0.5000 0.5000 0.0000
S3 0.8804 0.3804 0.5000
O1 0.2474 0.2474 0.0000
O2 0.7526 0.7526 0.0000

(2)
U2SO2: optimized geometry, PBE.

a b c (Å): 6.8369 6.8369 6.8369
angles (deg): 147.47 143.78 49.46
Sites, in units of the cell vectors:
U1 0.1594 0.1594 0.0000
U2 0.8406 0.8406 0.0000
S1 0.0000 0.5000 0.5000
O1 0.2717 0.7717 0.5000
O2 0.7283 0.2283 0.5000

(3)
USO6: optimized geometry, PBE.

a b c (Å): 6.8245 6.0166 12.9577
angles (deg): 90.00 103.27 90.00
Sites, in units of the cell vectors:
U1 0.1783 0.2465 0.3393
U2 0.1783 0.2535 0.8393
U3 0.8217 0.7465 0.1607
U4 0.8217 0.7535 0.6607
S1 0.2851 0.5418 0.1061
S2 0.2851 0.9582 0.6061
S3 0.7149 0.0418 0.3939
S4 0.7149 0.4582 0.8939
O1 0.0902 0.5144 0.7689
O2 0.0902 0.9856 0.2689
O3 0.1202 0.7071 0.0992
O4 0.1202 0.7929 0.5992
O5 0.2534 0.5033 0.4062
O6 0.2534 0.9967 0.9062
O7 0.2647 0.1389 0.6811
O8 0.2647 0.3611 0.1811
O9 0.2746 0.0549 0.5001
O10 0.2746 0.4451 0.0001
O11 0.4806 0.6547 0.1435
O12 0.4806 0.8453 0.6435
O13 0.5194 0.1547 0.3565
O14 0.5194 0.3453 0.8565
O15 0.7254 0.5549 0.9999
O16 0.7254 0.9451 0.4999
O17 0.7353 0.6389 0.8189
O18 0.7353 0.8611 0.3189
O19 0.7466 0.0033 0.0938
O20 0.7466 0.4967 0.5938
O21 0.8798 0.2071 0.4008
O22 0.8798 0.2929 0.9008
O23 0.9098 0.0144 0.7311
O24 0.9098 0.4856 0.2311

(4)
U2SO: optimized geometry, PBE.

a b c (Å): 7.9523 7.9523 7.9523
angles (deg): 26.26 26.26 26.26
Sites, in units of the cell vectors:
U1 0.0902 0.0902 0.0902
U2 0.9098 0.9098 0.9098
S1 0.5000 0.5000 0.5000
O1 0.0000 0.0000 0.0000

(5)
U2SO: optimized geometry, PBE.

a b c (Å): 3.2489 3.2489 6.4123
angles (deg): 90.00 90.00 90.00
Sites, in units of the cell vectors:
U1 0.0000 0.0000 0.2302
U2 0.0000 0.0000 0.7698
S1 0.5000 0.5000 0.5000
O1 0.5000 0.5000 0.0000

(6)
U3S3O4: optimized geometry, PBE.

a b c (Å): 7.5047 7.5047 7.5047
angles (deg): 109.47 109.47 109.47
Sites, in units of the cell vectors:
U1 0.1250 0.7500 0.8750
U2 0.2500 0.6250 0.3750
U3 0.3750 0.2500 0.6250
U4 0.6250 0.3750 0.2500
U5 0.7500 0.8750 0.1250
U6 0.8750 0.1250 0.7500
S1 0.1250 0.8750 0.2500
S2 0.2500 0.1250 0.8750
S3 0.3750 0.6250 0.7500
S4 0.6250 0.7500 0.3750
S5 0.7500 0.3750 0.6250
S6 0.8750 0.2500 0.1250
O1 0.0000 0.1312 0.5000
O2 0.0000 0.6312 0.5000
O3 0.1312 0.5000 0.0000
O4 0.3688 0.3688 0.3688
O5 0.5000 0.0000 0.1312
O6 0.5000 0.0000 0.6312
O7 0.6312 0.5000 0.0000
O8 0.8688 0.8688 0.8688

(7)
U2S3O: optimized geometry, PBE.

a b c (Å): 5.9627 5.9627 6.3772
angles (deg): 90.00 90.00 95.39
Sites, in units of the cell vectors:
U1 0.2257 0.2257 0.0000
U2 0.2257 0.2257 0.5000
U3 0.7743 0.7743 0.0000
U4 0.7743 0.7743 0.5000
S1 0.0755 0.5569 0.2500
S2 0.4293 0.5707 0.7500
S3 0.4431 0.9245 0.2500
S4 0.5569 0.0755 0.7500
S5 0.5707 0.4293 0.2500
S6 0.9245 0.4431 0.7500
O1 0.0257 0.9743 0.7500
O2 0.9743 0.0257 0.2500

These records have formation energy from raw total energies values of -2040; -2325; -2208; -1396; -1153; -2174; -1530 meV/atom, in the order they appear.